Entry from Alexandria: crystalline CsInGa2Pd at its relaxed geometry (PBE).

## Properties
Uncorrected energy (eV per atom): -3.06

Cell: 5.0940 5.0940 5.3717 Å, 90.00 90.00 90.00°
Last column: nearest neighbours and their distance in Å.
Sites, in units of the cell vectors:
Cs 0.0000 0.0000 0.0000  4 In 3.60, 8 Ga 3.70
In 0.5000 0.5000 0.0000  2 Pd 2.69
Ga 0.0000 0.5000 0.5000  2 Pd 2.55
Ga 0.5000 0.0000 0.5000  2 Pd 2.55
Pd 0.5000 0.5000 0.5000  4 Ga 2.55, 2 In 2.69